Crystalline CrSi2O at its relaxed geometry, computed with PBE+U.

Values from the calculation:
- density of states at the Fermi level (states/eV per atom) = 0.4244
- crystal system = tetragonal
- electronic total energy (eV/atom) = -5.776

Unit cell a=5.7918 b=5.7918 c=6.9975 alpha=90.00 beta=90.00 gamma=90.00
Space group I-42d (No. 122)
Asymmetric unit:
Cr 0.0000 0.0000 0.0000 [4 per cell]
Si 0.1680 0.2500 0.6250 [8 per cell]
O 0.0000 0.0000 0.5000 [4 per cell]